[1]
This record from the Alexandria database describes an optimized crystal structure of LaDyCd3. The functional is GGA-PBE.

The calculation puts the calculated total energy at -2.779 eV/atom.

The space group is Cmcm (No. 63) and the conventional cell measures 3.530, 30.009 and 5.066 Å, with angles of 90.00, 90.00 and 90.00 degrees. The distinct sites, in fractional coordinates, are La at (0.000, 0.075, 0.250), Dy at (0.000, 0.214, 0.750), Cd at (0.000, 0.321, 0.750), Cd at (0.000, 0.376, 0.250) and Cd at (0.000, 0.476, 0.250).

[2]
This record from the Alexandria database describes an optimized crystal structure of RbAu2I. The functional is GGA-PBE.

The value obtained for the formation energy from raw total energies is -1.01 eV/f.u.

The space group is I4_1/amd (No. 141, origin choice 2) and the conventional cell measures 5.360, 5.360 and 21.790 Å, with angles of 90.00, 90.00 and 90.00 degrees. The distinct sites, in fractional coordinates, are Rb at (0.000, 0.250, 0.375), Au at (0.000, 0.000, 0.000) and I at (0.000, 0.250, 0.875).

[3]
This record from the Alexandria database describes an optimized crystal structure of Ca2GeP. The functional is GGA-PBE.

The calculation puts the calculated total energy at -3.920 eV/atom.

The space group is I-42d (No. 122) and the conventional cell measures 7.911, 7.911 and 6.499 Å, with angles of 90.00, 90.00 and 90.00 degrees. The distinct sites, in fractional coordinates, are Ca at (0.223, 0.250, 0.125), Ge at (0.000, 0.000, 0.500) and P at (0.000, 0.000, 0.000).

[4]
This record from the Alexandria database describes an optimized crystal structure of LaZn2Tc. The functional is GGA-PBE.

The calculation puts the calculated total energy at -4.411 eV/atom.

The space group is I4/mmm (No. 139) and the conventional cell measures 4.210, 4.210 and 8.545 Å, with angles of 90.00, 90.00 and 90.00 degrees. The distinct sites, in fractional coordinates, are La at (0.000, 0.000, 0.000), Zn at (0.000, 0.500, 0.250) and Tc at (0.000, 0.000, 0.500).

[5]
This record from the Alexandria database describes an optimized crystal structure of Pd2PbSe2. The functional is GGA-PBE.

The value obtained for the formation energy from raw total energies is -0.93 eV/f.u.

The space group is I4/mmm (No. 139) and the conventional cell measures 4.251, 4.251 and 11.910 Å, with angles of 90.00, 90.00 and 90.00 degrees. The distinct sites, in fractional coordinates, are Pd at (0.000, 0.500, 0.250), Pb at (0.000, 0.000, 0.000) and Se at (0.000, 0.000, 0.374).

[6]
This record from the Alexandria database describes an optimized crystal structure of VSb3Pt12. The functional is GGA-PBE.

The value obtained for the formation energy from raw total energies is -3.52 eV/f.u.

The space group is P4/mmm (No. 123) and the conventional cell measures 4.013, 4.013 and 16.488 Å, with angles of 90.00, 90.00 and 90.00 degrees. The distinct sites, in fractional coordinates, are V at (0.000, 0.000, 0.000), Sb at (0.000, 0.000, 0.244), Sb at (0.000, 0.000, 0.500), Pt at (0.000, 0.500, 0.114), Pt at (0.000, 0.500, 0.371), Pt at (0.500, 0.500, 0.000), Pt at (0.500, 0.500, 0.243) and Pt at (0.500, 0.500, 0.500).

[7]
This record from the Alexandria database describes an optimized crystal structure of GeRuN. The functional is GGA-PBE.

The value obtained for the formation energy from raw total energies is 0.45 eV/f.u.

The space group is Pm (No. 6) and the conventional cell measures 4.788, 2.881 and 5.551 Å, with angles of 90.00, 95.81 and 90.00 degrees. The distinct sites, in fractional coordinates, are Ge at (0.000, 0.000, 0.000), Ge at (0.444, 0.500, 0.744), Ru at (0.392, 0.500, 0.216), Ru at (0.817, 0.000, 0.563), N at (0.116, 0.500, 0.516) and N at (0.690, 0.000, 0.204).

[8]
This record from the Alexandria database describes an optimized crystal structure of MnAlGe3. The functional is GGA-PBE.

The calculation puts the calculated total energy at -5.042 eV/atom.

The space group is Pm-3m (No. 221) and the conventional cell measures 4.620, 4.620 and 4.620 Å, with angles of 90.00, 90.00 and 90.00 degrees. The distinct sites, in fractional coordinates, are Mn at (0.000, 0.000, 0.000), Al at (0.500, 0.500, 0.500) and Ge at (0.000, 0.000, 0.500).